VASP calculation (PBE-GGA) on crystalline ErMnIrRh at its relaxed geometry.

Properties
Formation energy from the elements in meV per atom: -466

Geometry as CIF:
```
data_ErMnIrRh
_chemical_formula_sum 'Er4 Mn4 Ir4 Rh4'
_space_group_name_H-M_alt 'F -4 3 m'
_space_group_IT_number 216
_space_group_name_Hall 'F -4 2 3'
_cell_length_a 6.463
_cell_length_b 6.463
_cell_length_c 6.463
_cell_angle_alpha 90.00
_cell_angle_beta 90.00
_cell_angle_gamma 90.00
loop_
_atom_site_label
_atom_site_type_symbol
_atom_site_fract_x
_atom_site_fract_y
_atom_site_fract_z
Er1 Er 0.000 0.000 0.000
Mn1 Mn 0.000 0.000 0.500
Ir1 Ir 0.250 0.250 0.250
Rh1 Rh 0.250 0.250 0.750
```



VASP calculation (PBE-GGA) on crystalline ErScMnIr at its relaxed geometry.

Properties
Formation energy from the elements in meV per atom: -394

Geometry as CIF:
```
data_ErScMnIr
_chemical_formula_sum 'Er4 Sc4 Mn4 Ir4'
_space_group_name_H-M_alt 'F -4 3 m'
_space_group_IT_number 216
_space_group_name_Hall 'F -4 2 3'
_cell_length_a 6.691
_cell_length_b 6.691
_cell_length_c 6.691
_cell_angle_alpha 90.00
_cell_angle_beta 90.00
_cell_angle_gamma 90.00
loop_
_atom_site_label
_atom_site_type_symbol
_atom_site_fract_x
_atom_site_fract_y
_atom_site_fract_z
Er1 Er 0.000 0.000 0.000
Sc1 Sc 0.000 0.000 0.500
Mn1 Mn 0.250 0.250 0.750
Ir1 Ir 0.250 0.250 0.250
```



VASP calculation (PBE-GGA) on crystalline Er2MnSi4Ir3 at its relaxed geometry.

Properties
Raw formation energy in eV/f.u.: -9.12

Geometry as CIF:
```
data_Er2MnSi4Ir3
_chemical_formula_sum 'Er2 Mn1 Si4 Ir3'
_space_group_name_H-M_alt 'P -4 m 2'
_space_group_IT_number 115
_cell_length_a 4.041
_cell_length_b 4.041
_cell_length_c 10.147
_cell_angle_alpha 90.00
_cell_angle_beta 90.00
_cell_angle_gamma 90.00
loop_
_space_group_symop_operation_xyz
'x,y,z'
'y,-x,-z'
'-x,-y,z'
'-y,x,-z'
'-x,y,z'
'-y,-x,-z'
'x,-y,z'
'y,x,-z'
loop_
_atom_site_label
_atom_site_type_symbol
_atom_site_fract_x
_atom_site_fract_y
_atom_site_fract_z
Er1 Er 0.000 0.500 0.250
Mn1 Mn 0.000 0.000 0.500
Si1 Si 0.000 0.000 0.000
Si2 Si 0.000 0.500 0.634
Si3 Si 0.500 0.500 0.000
Ir1 Ir 0.000 0.500 0.870
Ir2 Ir 0.500 0.500 0.500
```



Table of calculated volume (Å³ per cell), in record order: 269.95 299.49 165.71
Table of energy (eV/atom), in record order: -7.952 -7.625 -7.570